No. 1
# ZrHg3 PBE optimized geometry
data_ZrHg3
_symmetry_space_group_name_H-M 'P 1'
_symmetry_Int_Tables_number 1
_cell_length_a 6.4410
_cell_length_b 6.4410
_cell_length_c 4.9198
_cell_angle_alpha 90.00
_cell_angle_beta 90.00
_cell_angle_gamma 88.07
loop_
_symmetry_equiv_pos_as_xyz
'x,y,z'
loop_
_atom_site_label
_atom_site_fract_x
_atom_site_fract_y
_atom_site_fract_z
_atom_site_occupancy
Zr1 0.1061 0.8939 0.7500 1
Zr2 0.8939 0.1061 0.2500 1
Hg1 0.0072 0.3642 0.7500 1
Hg2 0.3642 0.0072 0.2500 1
Hg3 0.4288 0.5712 0.7500 1
Hg4 0.5712 0.4288 0.2500 1
Hg5 0.6358 0.9928 0.7500 1
Hg6 0.9928 0.6358 0.2500 1
# Symmetry   No. 63
# Spin magnetization   1.16 μB/cell

No. 2
# ZrHg PBE optimized geometry
data_ZrHg
_symmetry_space_group_name_H-M 'P 1'
_symmetry_Int_Tables_number 1
_cell_length_a 6.0020
_cell_length_b 6.0020
_cell_length_c 7.2980
_cell_angle_alpha 107.50
_cell_angle_beta 107.50
_cell_angle_gamma 32.09
loop_
_symmetry_equiv_pos_as_xyz
'x,y,z'
loop_
_atom_site_label
_atom_site_fract_x
_atom_site_fract_y
_atom_site_fract_z
_atom_site_occupancy
Zr1 0.0000 0.0000 0.0000 1
Zr2 0.0136 0.0136 0.5387 1
Zr3 0.3487 0.3487 0.2037 1
Hg1 0.3323 0.3323 0.6612 1
Hg2 0.6572 0.6572 0.3306 1
Hg3 0.6890 0.6890 0.8700 1
# Symmetry   No. 8
# Spin magnetization   0.00 μB/cell

No. 3
# ZrHg PBE optimized geometry
data_ZrHg
_symmetry_space_group_name_H-M 'P 1'
_symmetry_Int_Tables_number 1
_cell_length_a 7.8174
_cell_length_b 7.8174
_cell_length_c 7.8174
_cell_angle_alpha 90.00
_cell_angle_beta 90.00
_cell_angle_gamma 90.00
loop_
_symmetry_equiv_pos_as_xyz
'x,y,z'
loop_
_atom_site_label
_atom_site_fract_x
_atom_site_fract_y
_atom_site_fract_z
_atom_site_occupancy
Zr1 0.0000 0.2500 0.5000 1
Zr2 0.0000 0.7500 0.5000 1
Zr3 0.2500 0.5000 0.0000 1
Zr4 0.5000 0.0000 0.2500 1
Zr5 0.5000 0.0000 0.7500 1
Zr6 0.7500 0.5000 0.0000 1
Hg1 0.0000 0.5000 0.2500 1
Hg2 0.0000 0.5000 0.7500 1
Hg3 0.2500 0.0000 0.5000 1
Hg4 0.5000 0.2500 0.0000 1
Hg5 0.5000 0.7500 0.0000 1
Hg6 0.7500 0.0000 0.5000 1
# Symmetry   No. 223
# Spin magnetization   0.00 μB/cell

No. 4
# ZrHg PBE optimized geometry
data_ZrHg
_symmetry_space_group_name_H-M 'P 1'
_symmetry_Int_Tables_number 1
_cell_length_a 5.0253
_cell_length_b 5.0253
_cell_length_c 8.6817
_cell_angle_alpha 90.00
_cell_angle_beta 90.00
_cell_angle_gamma 120.00
loop_
_symmetry_equiv_pos_as_xyz
'x,y,z'
loop_
_atom_site_label
_atom_site_fract_x
_atom_site_fract_y
_atom_site_fract_z
_atom_site_occupancy
Zr1 0.0000 0.0000 0.2500 1
Zr2 0.0000 0.0000 0.7500 1
Zr3 0.3333 0.6667 0.2500 1
Zr4 0.6667 0.3333 0.7500 1
Hg1 0.3333 0.6667 0.5844 1
Hg2 0.3333 0.6667 0.9156 1
Hg3 0.6667 0.3333 0.0844 1
Hg4 0.6667 0.3333 0.4156 1
# Symmetry   No. 194
# Spin magnetization   0.00 μB/cell

No. 5
# Zr4Hg5 PBE optimized geometry
data_Zr4Hg5
_symmetry_space_group_name_H-M 'P 1'
_symmetry_Int_Tables_number 1
_cell_length_a 7.2165
_cell_length_b 7.2165
_cell_length_c 7.2165
_cell_angle_alpha 94.87
_cell_angle_beta 94.87
_cell_angle_gamma 146.11
loop_
_symmetry_equiv_pos_as_xyz
'x,y,z'
loop_
_atom_site_label
_atom_site_fract_x
_atom_site_fract_y
_atom_site_fract_z
_atom_site_occupancy
Zr1 0.0000 0.3313 0.3313 1
Zr2 0.0000 0.6687 0.6687 1
Zr3 0.3313 0.0000 0.3313 1
Zr4 0.6687 0.0000 0.6687 1
Hg1 0.0000 0.0000 0.0000 1
Hg2 0.3293 0.3293 0.6587 1
Hg3 0.3293 0.6707 0.0000 1
Hg4 0.6707 0.3293 0.0000 1
Hg5 0.6707 0.6707 0.3413 1
# Symmetry   No. 139
# Spin magnetization   0.00 μB/cell
# ΔE to the lowest computed polymorph   0.0000 eV/atom

No. 6
# Zr2Hg PBE optimized geometry
data_Zr2Hg
_symmetry_space_group_name_H-M 'P 1'
_symmetry_Int_Tables_number 1
_cell_length_a 6.0866
_cell_length_b 6.0866
_cell_length_c 7.5488
_cell_angle_alpha 107.25
_cell_angle_beta 107.25
_cell_angle_gamma 30.17
loop_
_symmetry_equiv_pos_as_xyz
'x,y,z'
loop_
_atom_site_label
_atom_site_fract_x
_atom_site_fract_y
_atom_site_fract_z
_atom_site_occupancy
Zr1 0.0000 0.0000 0.0000 1
Zr2 0.0403 0.0403 0.5812 1
Zr3 0.3665 0.3665 0.2537 1
Zr4 0.7127 0.7127 0.9072 1
Hg1 0.3284 0.3284 0.6535 1
Hg2 0.6557 0.6557 0.3230 1
# Symmetry   No. 8
# Spin magnetization   0.00 μB/cell

No. 7
# ZrHg PBE optimized geometry
data_ZrHg
_symmetry_space_group_name_H-M 'P 1'
_symmetry_Int_Tables_number 1
_cell_length_a 4.2625
_cell_length_b 4.2625
_cell_length_c 6.3049
_cell_angle_alpha 90.00
_cell_angle_beta 90.00
_cell_angle_gamma 120.00
loop_
_symmetry_equiv_pos_as_xyz
'x,y,z'
loop_
_atom_site_label
_atom_site_fract_x
_atom_site_fract_y
_atom_site_fract_z
_atom_site_occupancy
Zr1 0.3333 0.6667 0.2500 1
Zr2 0.6667 0.3333 0.7500 1
Hg1 0.0000 0.0000 0.0000 1
Hg2 0.0000 0.0000 0.5000 1
# Symmetry   No. 194
# Spin magnetization   0.00 μB/cell

No. 8
# Zr2Hg PBE optimized geometry
data_Zr2Hg
_symmetry_space_group_name_H-M 'P 1'
_symmetry_Int_Tables_number 1
_cell_length_a 4.3282
_cell_length_b 4.3282
_cell_length_c 4.0919
_cell_angle_alpha 90.00
_cell_angle_beta 90.00
_cell_angle_gamma 90.00
loop_
_symmetry_equiv_pos_as_xyz
'x,y,z'
loop_
_atom_site_label
_atom_site_fract_x
_atom_site_fract_y
_atom_site_fract_z
_atom_site_occupancy
Zr1 0.0000 0.5000 0.0000 1
Zr2 0.5000 0.0000 0.0000 1
Hg1 0.0000 0.0000 0.5000 1
# Symmetry   No. 123
# Spin magnetization   0.00 μB/cell

No. 9
# Zr3Hg5 PBE optimized geometry
data_Zr3Hg5
_symmetry_space_group_name_H-M 'P 1'
_symmetry_Int_Tables_number 1
_cell_length_a 6.3062
_cell_length_b 6.3062
_cell_length_c 4.4092
_cell_angle_alpha 90.00
_cell_angle_beta 90.00
_cell_angle_gamma 91.06
loop_
_symmetry_equiv_pos_as_xyz
'x,y,z'
loop_
_atom_site_label
_atom_site_fract_x
_atom_site_fract_y
_atom_site_fract_z
_atom_site_occupancy
Zr1 0.0000 0.0000 0.0000 1
Zr2 0.2586 0.7414 0.5000 1
Zr3 0.7414 0.2586 0.5000 1
Hg1 0.0000 0.5000 0.0000 1
Hg2 0.2374 0.2374 0.5000 1
Hg3 0.5000 0.0000 0.0000 1
Hg4 0.5000 0.5000 0.0000 1
Hg5 0.7626 0.7626 0.5000 1
# Symmetry   No. 65
# Spin magnetization   0.00 μB/cell
# ΔE to the lowest computed polymorph   0.0000 eV/atom

No. 10
# ZrHg PBE optimized geometry
data_ZrHg
_symmetry_space_group_name_H-M 'P 1'
_symmetry_Int_Tables_number 1
_cell_length_a 5.4041
_cell_length_b 5.4041
_cell_length_c 5.4041
_cell_angle_alpha 34.40
_cell_angle_beta 34.40
_cell_angle_gamma 34.40
loop_
_symmetry_equiv_pos_as_xyz
'x,y,z'
loop_
_atom_site_label
_atom_site_fract_x
_atom_site_fract_y
_atom_site_fract_z
_atom_site_occupancy
Zr1 0.0000 0.0000 0.0000 1
Hg1 0.5000 0.5000 0.5000 1
# Symmetry   No. 166
# Spin magnetization   0.00 μB/cell

No. 11
# Zr3Hg7 PBE optimized geometry
data_Zr3Hg7
_symmetry_space_group_name_H-M 'P 1'
_symmetry_Int_Tables_number 1
_cell_length_a 8.3548
_cell_length_b 8.3548
_cell_length_c 6.3570
_cell_angle_alpha 103.96
_cell_angle_beta 103.96
_cell_angle_gamma 30.77
loop_
_symmetry_equiv_pos_as_xyz
'x,y,z'
loop_
_atom_site_label
_atom_site_fract_x
_atom_site_fract_y
_atom_site_fract_z
_atom_site_occupancy
Zr1 0.0000 0.0000 0.0000 1
Zr2 0.1999 0.1999 0.6155 1
Zr3 0.8001 0.8001 0.3845 1
Hg1 0.0000 0.0000 0.5000 1
Hg2 0.1992 0.1992 0.1138 1
Hg3 0.3970 0.3970 0.6819 1
Hg4 0.3999 0.3999 0.1762 1
Hg5 0.6001 0.6001 0.8238 1
Hg6 0.6030 0.6030 0.3181 1
Hg7 0.8008 0.8008 0.8862 1
# Symmetry   No. 12
# Spin magnetization   0.00 μB/cell

No. 12
# ZrHg3 PBE optimized geometry
data_ZrHg3
_symmetry_space_group_name_H-M 'P 1'
_symmetry_Int_Tables_number 1
_cell_length_a 6.1699
_cell_length_b 6.1699
_cell_length_c 6.1699
_cell_angle_alpha 151.39
_cell_angle_beta 62.86
_cell_angle_gamma 125.33
loop_
_symmetry_equiv_pos_as_xyz
'x,y,z'
loop_
_atom_site_label
_atom_site_fract_x
_atom_site_fract_y
_atom_site_fract_z
_atom_site_occupancy
Zr1 0.0000 0.0000 0.0000 1
Hg1 0.4004 0.6624 0.7380 1
Hg2 0.5136 0.0136 0.5000 1
Hg3 0.9244 0.6624 0.2620 1
# Symmetry   No. 44
# Spin magnetization   0.00 μB/cell

Number 1: energy -2.296 eV/atom, theoretical density 11.28 g/cm³. Number 2: energy -4.529 eV/atom, theoretical density 10.96 g/cm³. Number 3: energy -3.335 eV/atom, theoretical density 6.09 g/cm³. Number 4: energy -4.010 eV/atom, theoretical density 10.21 g/cm³. Number 5: energy -4.073 eV/atom, theoretical density 11.33 g/cm³. Number 6: energy -5.832 eV/atom, theoretical density 9.51 g/cm³. Number 7: energy -4.190 eV/atom, theoretical density 9.77 g/cm³. Number 8: energy -5.439 eV/atom, theoretical density 8.30 g/cm³. Number 9: energy -3.486 eV/atom, theoretical density 12.09 g/cm³. Number 10: energy -4.470 eV/atom, theoretical density 10.78 g/cm³. Number 11: energy -2.834 eV/atom, theoretical density 12.68 g/cm³. Number 12: energy -2.349 eV/atom, theoretical density 12.65 g/cm³.